# CaCd2AsAu

A relaxed structure of CaCd2AsAu (GGA-PBE, the Alexandria database).

The structure in POSCAR format:
```
CaCd2AsAu
1.0
-5.969 0.696 0.925
-0.929 -4.672 -2.479
0.483 -2.916 5.313
As Au Ca Cd
1 1 1 2
Cartesian
-3.207 -3.446 1.880
-0.465 -2.336 -1.240
0.000 0.000 0.000
0.242 -1.458 2.657
-2.984 0.348 0.462
```

Properties
- Energy of formation from the pure elements: 761.0 meV/atom
- D(E_F): 0.71 states/eV per atom
- Size of the total moment: 2.1 μB/f.u.
- Energy: -7.95 eV for the cell shown